A relaxed structure of Tm3SiSb. Source: Alexandria via LeMat-Bulk, functional PBE.

Magnetization, μB/cell: 0.00
ΔE_f (raw), meV/atom: -725

Lattice parameters (Å, degrees): 6.724 4.289 9.194 90.00 90.52 90.00
Positions (direct):
Tm1 0.006 0.250 0.338
Tm2 0.256 0.250 0.916
Tm3 0.490 0.250 0.338
Tm4 0.510 0.750 0.662
Tm5 0.744 0.750 0.084
Tm6 0.994 0.750 0.662
Si1 0.251 0.250 0.599
Si2 0.749 0.750 0.401
Sb1 0.246 0.750 0.151
Sb2 0.754 0.250 0.849

---

A relaxed structure of CuHg2Br. Source: Alexandria via LeMat-Bulk, functional PBE.

Magnetization, μB/cell: 0.00
ΔE_f (raw), meV/atom: 62

Lattice parameters (Å, degrees): 6.797 6.797 6.797 115.19 115.19 98.55
Positions (direct):
Cu1 0.000 0.000 0.000
Cu2 0.750 0.250 0.500
Hg1 0.076 0.625 0.951
Hg2 0.375 0.326 0.451
Hg3 0.674 0.125 0.049
Hg4 0.875 0.924 0.549
Br1 0.250 0.750 0.500
Br2 0.500 0.500 0.000